No. 1
A relaxed Sc4Si5 crystal, computed with PBE.

Cell lengths 6.803, 6.803, 6.803 Å; angles 94.42, 94.42, 147.75 degrees
Atoms (fractional coordinates):
1 Si 0.315 0.315 0.629
2 Si 0.685 0.685 0.371
3 Si 0.685 0.315 0.000
4 Si 0.315 0.685 0.000
5 Si 0.000 0.000 0.000
6 Sc 0.706 0.000 0.706
7 Sc 0.000 0.294 0.294
8 Sc 0.294 0.000 0.294
9 Sc 0.000 0.706 0.706

Summary:
SG = I4/mmm
Volume = 161 Å³/cell
Uncorrected energy = -6.33 eV/atom

=====

No. 2
A relaxed FeCu2Se crystal, computed with PBE.

Cell lengths 3.660, 3.731, 3.996 Å; angles 90.00, 90.00, 90.00 degrees
Last column: magnetic moment on the atom in μB.
Atoms (fractional coordinates):
1 Fe 0.500 0.000 0.500  2.74
2 Cu 0.500 0.500 0.000  0.04
3 Cu 0.000 0.000 0.000  0.04
4 Se 0.000 0.500 0.500  0.08

Summary:
SG = Pmmm
Volume = 55 Å³/cell
Uncorrected energy = -4.81 eV/atom

=====

No. 3
A relaxed La2Th4N crystal, computed with PBE.

Cell lengths 5.077, 5.077, 9.450 Å; angles 74.42, 74.42, 90.00 degrees
Atoms (fractional coordinates):
1 N 0.000 0.000 0.000
2 Th 0.136 0.136 0.728
3 Th 0.864 0.864 0.272
4 Th 0.500 0.000 0.000
5 Th 0.000 0.500 0.000
6 La 0.345 0.345 0.309
7 La 0.655 0.655 0.691

Summary:
SG = I4/mmm
Volume = 225 Å³/cell
Uncorrected energy = -7.09 eV/atom

=====

No. 4
A relaxed LaNi3N crystal, computed with PBE.

Cell lengths 4.058, 4.058, 4.058 Å; angles 90.00, 90.00, 90.00 degrees
Atoms (fractional coordinates):
1 N 0.000 0.000 0.000
2 Ni 0.500 0.000 0.000
3 Ni 0.000 0.000 0.500
4 Ni 0.000 0.500 0.000
5 La 0.500 0.500 0.500

Summary:
SG = Pm-3m
Polymorph energy (0 for the lowest one) = 0.0 meV per atom
Volume = 67 Å³/cell
Uncorrected energy = -6.22 eV/atom

=====

No. 5
A relaxed TlSiPt2 crystal, computed with PBE.

Cell lengths 4.645, 4.645, 4.645 Å; angles 60.00, 60.00, 60.00 degrees
Atoms (fractional coordinates):
1 Si 0.500 0.500 0.500
2 Pt 0.250 0.250 0.250
3 Pt 0.000 0.000 0.000
4 Tl 0.750 0.750 0.750

Summary:
SG = F-43m
Volume = 71 Å³/cell
Uncorrected energy = -4.74 eV/atom

=====

No. 6
A relaxed LaPr2Dy2Ho2 crystal, computed with PBE.

Cell lengths 5.102, 6.270, 13.074 Å; angles 43.89, 90.00, 114.01 degrees
Atoms (fractional coordinates):
1 La 0.000 0.000 0.500
2 Ho 0.426 0.853 0.358
3 Ho 0.574 0.147 0.642
4 Dy 0.144 0.288 0.784
5 Dy 0.856 0.712 0.216
6 Pr 0.288 0.575 0.070
7 Pr 0.712 0.425 0.930

Summary:
DFT formation energy = 0.03 eV/atom
SG = C2/m
Volume = 235 Å³/cell
Uncorrected energy = -4.66 eV/atom

=====

No. 7
A relaxed Sm3Dy2ThTe6 crystal, computed with PBE.

Cell lengths 4.381, 8.914, 9.817 Å; angles 101.03, 102.89, 90.00 degrees
Atoms (fractional coordinates):
1 Sm 0.159 0.837 0.317
2 Sm 0.841 0.163 0.683
3 Sm 0.500 0.500 0.000
4 Te 0.672 0.095 0.343
5 Te 0.330 0.417 0.661
6 Te 0.995 0.743 0.991
7 Te 0.328 0.905 0.657
8 Te 0.005 0.257 0.009
9 Te 0.670 0.583 0.339
10 Dy 0.835 0.666 0.671
11 Dy 0.165 0.334 0.329
12 Th 0.500 0.000 0.000

Summary:
SG = C2/m
Volume = 366 Å³/cell
Uncorrected energy = -5.42 eV/atom

=====

No. 8
A relaxed ZrGaAs2 crystal, computed with PBE.

Cell lengths 3.807, 3.807, 7.200 Å; angles 74.67, 74.67, 60.00 degrees
Atoms (fractional coordinates):
1 As 0.255 0.255 0.235
2 As 0.083 0.083 0.750
3 Ga 0.497 0.497 0.509
4 Zr 0.665 0.665 0.006

Summary:
DFT formation energy = -0.42 eV/atom
SG = R3m
Volume = 86 Å³/cell
Uncorrected energy = -5.64 eV/atom

=====

No. 9
A relaxed K3Mg5 crystal, computed with PBE.

Cell lengths 11.883, 11.901, 5.635 Å; angles 90.00, 90.00, 122.96 degrees
Atoms (fractional coordinates):
1 Mg 0.847 0.995 0.750
2 Mg 0.338 0.662 0.500
3 Mg 0.662 0.338 0.000
4 Mg 0.338 0.662 0.000
5 Mg 0.153 0.005 0.250
6 Mg 0.662 0.338 0.500
7 Mg 0.005 0.153 0.250
8 Mg 0.840 0.840 0.250
9 Mg 0.160 0.160 0.750
10 Mg 0.995 0.847 0.750
11 K 0.635 0.008 0.250
12 K 0.379 0.379 0.250
13 K 0.992 0.365 0.750
14 K 0.365 0.992 0.750
15 K 0.621 0.621 0.750
16 K 0.008 0.635 0.250

Summary:
DFT formation energy = 0.27 eV/atom
SG = P2_1/m
Polymorph energy (0 for the lowest one) = 70.1 meV per atom
Volume = 669 Å³/cell
Uncorrected energy = -1.14 eV/atom

=====

No. 10
A relaxed CdHgI crystal, computed with PBE.

Cell lengths 4.375, 4.375, 5.957 Å; angles 90.00, 90.00, 120.00 degrees
Atoms (fractional coordinates):
1 I 0.000 0.000 0.036
2 Cd 0.667 0.333 0.352
3 Hg 0.333 0.667 0.612

Summary:
SG = P3m1
Volume = 99 Å³/cell
Uncorrected energy = -1.11 eV/atom

=====

No. 11
A relaxed NaS crystal, computed with PBE.

Cell lengths 11.903, 11.903, 3.461 Å; angles 90.00, 90.00, 90.00 degrees
Atoms (fractional coordinates):
1 S 0.336 0.228 0.000
2 S 0.164 0.272 0.500
3 S 0.272 0.836 0.500
4 S 0.228 0.664 0.000
5 S 0.728 0.164 0.500
6 S 0.664 0.772 0.000
7 S 0.836 0.728 0.500
8 S 0.772 0.336 0.000
9 Na 0.437 0.767 0.000
10 Na 0.733 0.937 0.500
11 Na 0.063 0.733 0.500
12 Na 0.267 0.063 0.500
13 Na 0.233 0.437 0.000
14 Na 0.563 0.233 0.000
15 Na 0.767 0.563 0.000
16 Na 0.937 0.267 0.500

Summary:
SG = I4/m
Polymorph energy (0 for the lowest one) = 534.3 meV per atom
Volume = 490 Å³/cell
Uncorrected energy = -3.02 eV/atom

=====

No. 12
A relaxed Cs4Er3TiSe8 crystal, computed with PBE.

Cell lengths 8.328, 9.619, 8.330 Å; angles 115.66, 119.99, 90.00 degrees
Last column: magnetic moment on the atom in μB.
Atoms (fractional coordinates):
1 Er 0.500 0.500 0.000  0.01
2 Er 0.000 0.500 0.500  0.01
3 Er 0.500 0.500 0.500  0.01
4 Cs 0.500 0.000 0.000  0.00
5 Cs 0.500 0.000 0.500  0.00
6 Cs 0.000 0.000 0.000  0.00
7 Cs 0.000 0.000 0.500  0.00
8 Se 0.219 0.679 0.961  -0.01
9 Se 0.271 0.314 0.543  0.00
10 Se 0.258 0.321 0.039  -0.01
11 Se 0.742 0.679 0.961  -0.01
12 Se 0.781 0.321 0.563  -0.01
13 Se 0.729 0.686 0.457  0.00
14 Se 0.781 0.321 0.039  -0.01
15 Se 0.219 0.679 0.437  -0.01
16 Ti 0.000 0.500 0.000  0.87

Summary:
SG = R-3m
Volume = 500 Å³/cell
Uncorrected energy = -4.85 eV/atom

=====

No. 13
A relaxed PuInPbBr6 crystal, computed with PBE.

Cell lengths 7.721, 7.721, 13.953 Å; angles 90.00, 90.00, 120.00 degrees
Last column: magnetic moment on the atom in μB.
Atoms (fractional coordinates):
1 Pu 0.333 0.667 0.750  5.08
2 Pu 0.667 0.333 0.250  5.08
3 Br 0.367 0.016 0.133  -0.03
4 Br 0.633 0.649 0.633  -0.03
5 Br 0.351 0.367 0.867  -0.03
6 Br 0.649 0.016 0.367  -0.03
7 Br 0.367 0.351 0.367  -0.03
8 Br 0.984 0.633 0.367  -0.03
9 Br 0.016 0.367 0.633  -0.03
10 Br 0.984 0.351 0.133  -0.03
11 Br 0.649 0.633 0.133  -0.03
12 Br 0.351 0.984 0.633  -0.03
13 Br 0.633 0.984 0.867  -0.03
14 Br 0.016 0.649 0.867  -0.03
15 In 0.000 0.000 0.500  -0.01
16 In 0.000 0.000 0.000  -0.01
17 Pb 0.333 0.667 0.250  0.00
18 Pb 0.667 0.333 0.750  0.00

Summary:
SG = P-31c
Volume = 720 Å³/cell
Uncorrected energy = -4.55 eV/atom

=====

No. 14
A relaxed KNiW2 crystal, computed with PBE.

Cell lengths 4.908, 4.908, 9.278 Å; angles 74.66, 74.66, 90.00 degrees
Atoms (fractional coordinates):
1 Ni 0.000 0.000 0.000
2 Ni 0.750 0.250 0.500
3 K 0.250 0.750 0.500
4 K 0.500 0.500 0.000
5 W 0.859 0.125 0.250
6 W 0.875 0.109 0.750
7 W 0.375 0.141 0.750
8 W 0.891 0.625 0.250

Summary:
DFT formation energy = 1.85 eV/atom
SG = I-42d
Polymorph energy (0 for the lowest one) = 1128.8 meV per atom
Volume = 207 Å³/cell
Uncorrected energy = -6.35 eV/atom